Entry 1:
A relaxed structure of Mn2ReRu2. Source: Alexandria, functional PBE.

Structure (POSCAR):
```
Mn2ReRu2
1.0
7.0481 0.0000 0.0000
0.0000 7.0481 0.0000
0.0000 0.0000 2.6676
Mn Re Ru
4 2 4
direct
0.1690 0.3310 0.0000 Mn
0.3310 0.8310 0.0000 Mn
0.6690 0.1690 0.0000 Mn
0.8310 0.6690 0.0000 Mn
0.0000 0.0000 0.5000 Re
0.5000 0.5000 0.5000 Re
0.1279 0.6279 0.5000 Ru
0.3721 0.1279 0.5000 Ru
0.6279 0.8721 0.5000 Ru
0.8721 0.3721 0.5000 Ru
```

Calculated values
ΔE_f: 0.2535 eV/atom
Excess energy over the best structure of this formula in the dataset: 93.4 meV per atom

=====

Entry 2:
A relaxed structure of Ba2CdCuHg. Source: Alexandria, functional PBE.

Structure (POSCAR):
```
Ba2CdCuHg
1.0
6.1456 0.0000 0.0000
0.0000 6.1456 0.0000
0.0000 0.0000 4.9977
Ba Cd Cu Hg
2 1 1 1
direct
0.0000 0.5000 0.0000 Ba
0.5000 0.0000 0.0000 Ba
0.0000 0.0000 0.5000 Cd
0.0000 0.0000 0.0000 Cu
0.5000 0.5000 0.5000 Hg
```

Calculated values
ΔE_f: -0.1660 eV/atom

=====

Entry 3:
A relaxed structure of Nd6Sm5Ho. Source: Alexandria, functional PBE.

Structure (POSCAR):
```
Nd6Sm5Ho
1.0
3.1614 -5.4773 0.0000
3.1614 5.4773 0.0000
-2.1152 0.0000 11.8729
Nd Sm Ho
6 5 1
direct
0.0824 0.4149 0.2490 Nd
0.2501 0.2501 0.7508 Nd
0.4149 0.0824 0.2490 Nd
0.5851 0.9176 0.7510 Nd
0.7499 0.7499 0.2492 Nd
0.9176 0.5851 0.7510 Nd
0.1665 0.8335 0.5000 Sm
0.3332 0.6669 0.0000 Sm
0.5000 0.5000 0.5000 Sm
0.6669 0.3332 0.0000 Sm
0.8335 0.1665 0.5000 Sm
0.0000 0.0000 0.0000 Ho
```

Calculated values
ΔE_f: 0.0124 eV/atom

=====

Entry 4:
A relaxed structure of Cr2SiCl. Source: Alexandria, functional PBE.

Structure (POSCAR):
```
Cr2SiCl
1.0
12.6734 0.0000 0.0000
0.0000 3.6505 0.0000
-0.7639 0.0000 3.0184
Cr Si Cl
4 2 2
direct
0.0000 0.0000 0.0000 Cr
0.1707 0.0000 0.6695 Cr
0.5000 0.5000 0.0000 Cr
0.6707 0.5000 0.6695 Cr
0.1318 0.5000 0.1305 Si
0.6318 0.0000 0.1305 Si
0.3687 0.0000 0.8691 Cl
0.8687 0.5000 0.8691 Cl
```

Calculated values
Energy relative to the elements, uncorrected: 0.009 eV per atom
Excess energy over the best structure of this formula in the dataset: 0.0 meV per atom

=====

Q: Number 4 is which compound?
A: Cr2SiCl

=====

Q: Number 3 is which compound?
A: Nd6Sm5Ho